#w
{
  "formula": "NpHF",
  "functional": "PBE-GGA",
  "state": "optimized geometry",
  "m_tot_mub_per_cell": 4.808,
  "dos_ef_per_ev_atom": 2.64,
  "vol_a3_per_atom": 14.7,
  "lattice_angstrom": [[3.9615, 0.0000, 0.0000], [1.9808, 3.4308, 0.0000], [1.9808, 1.1436, 3.2346]],
  "species": ["Np", "H", "F"],
  "fractional_positions": [[0.2500, 0.2500, 0.2500], [0.5000, 0.5000, 0.5000], [0.0000, 0.0000, 0.0000]]
}

***

#x
{
  "formula": "NpHF",
  "functional": "PBE-GGA",
  "state": "optimized geometry",
  "m_tot_mub_per_cell": 0.006,
  "dos_ef_per_ev_atom": 0.83,
  "vol_a3_per_atom": 11.3,
  "lattice_angstrom": [[3.7952, 0.0000, 0.0000], [0.0000, 3.4401, 0.0000], [0.0000, 0.0000, 10.3577]],
  "species": ["Np", "Np", "Np", "Np", "H", "H", "H", "H", "F", "F", "F", "F"],
  "fractional_positions": [[0.2500, 0.7221, 0.3287], [0.7500, 0.2779, 0.6713], [0.7500, 0.7779, 0.8287], [0.2500, 0.2221, 0.1713], [0.7500, 0.3319, 0.2920], [0.7500, 0.8319, 0.2080], [0.2500, 0.1681, 0.7920], [0.2500, 0.6681, 0.7080], [0.7500, 0.7572, 0.4924], [0.7500, 0.2572, 0.0076], [0.2500, 0.7428, 0.9924], [0.2500, 0.2428, 0.5076]]
}

***

Verdict on stability: #x comes out at the bottom.

***

#w
{
  "formula": "HOsOF2",
  "functional": "PBE-GGA",
  "state": "optimized geometry",
  "m_tot_mub_per_cell": 3.451,
  "dos_ef_per_ev_atom": 0.29,
  "vol_a3_per_atom": 8.8,
  "lattice_angstrom": [[3.1225, 0.0000, 0.0000], [0.0000, 3.1225, 0.0000], [0.0000, 0.0000, 4.4978]],
  "species": ["H", "Os", "O", "F", "F"],
  "fractional_positions": [[0.0000, 0.0000, 0.0000], [0.5000, 0.5000, 0.5000], [0.0000, 0.0000, 0.5000], [0.0000, 0.5000, 0.0000], [0.5000, 0.0000, 0.0000]]
}

***

#x
{
  "formula": "HOsOF2",
  "functional": "PBE-GGA",
  "state": "optimized geometry",
  "m_tot_mub_per_cell": 0.988,
  "dos_ef_per_ev_atom": 0.36,
  "vol_a3_per_atom": 12.6,
  "lattice_angstrom": [[4.1199, 0.0000, 0.0000], [0.0000, 4.1199, 0.0000], [0.0000, 0.0000, 3.6981]],
  "species": ["H", "Os", "O", "F", "F"],
  "fractional_positions": [[0.5000, 0.5000, 0.5000], [0.0000, 0.0000, 0.0000], [0.0000, 0.0000, 0.5000], [0.0000, 0.5000, 0.0000], [0.5000, 0.0000, 0.0000]]
}

***

Verdict on stability: #w comes out at the bottom.

***

#w
{
  "formula": "HPbOF2",
  "functional": "PBE-GGA",
  "state": "optimized geometry",
  "m_tot_mub_per_cell": 0.749,
  "dos_ef_per_ev_atom": 0.55,
  "vol_a3_per_atom": 17.2,
  "lattice_angstrom": [[4.5038, 0.0000, 0.0000], [0.0000, 4.5038, 0.0000], [0.0000, 0.0000, 4.2376]],
  "species": ["Pb", "H", "O", "F", "F"],
  "fractional_positions": [[0.0000, 0.0000, 0.0000], [0.5000, 0.5000, 0.5000], [0.0000, 0.0000, 0.5000], [0.0000, 0.5000, 0.0000], [0.5000, 0.0000, 0.0000]]
}

***

#x
{
  "formula": "HPbOF2",
  "functional": "PBE-GGA",
  "state": "optimized geometry",
  "m_tot_mub_per_cell": 0.000,
  "dos_ef_per_ev_atom": 0.23,
  "vol_a3_per_atom": 10.0,
  "lattice_angstrom": [[-2.2234, 0.6621, 2.4989], [-1.8281, -2.7331, -0.9024], [2.3048, -2.4314, 2.6948]],
  "species": ["Pb", "H", "O", "F", "F"],
  "fractional_positions": [[0.5000, 0.5000, 0.5000], [0.0000, 0.0000, 0.0000], [0.0000, 0.0000, 0.5000], [0.0000, 0.5000, 0.0000], [0.5000, 0.0000, 0.0000]]
}

***

Verdict on stability: #w comes out at the bottom.

***

#w
{
  "formula": "HPdOF2",
  "functional": "PBE-GGA",
  "state": "optimized geometry",
  "m_tot_mub_per_cell": 0.140,
  "dos_ef_per_ev_atom": 1.11,
  "vol_a3_per_atom": 9.3,
  "lattice_angstrom": [[4.2394, 0.0000, 0.0000], [0.0000, 4.2394, 0.0000], [0.0000, 0.0000, 2.5863]],
  "species": ["H", "O", "Pd", "F", "F"],
  "fractional_positions": [[0.0000, 0.0000, 0.0000], [0.0000, 0.0000, 0.5000], [0.5000, 0.5000, 0.5000], [0.0000, 0.5000, 0.0000], [0.5000, 0.0000, 0.0000]]
}

***

#x
{
  "formula": "HPdOF2",
  "functional": "PBE-GGA",
  "state": "optimized geometry",
  "m_tot_mub_per_cell": 0.005,
  "dos_ef_per_ev_atom": 0.55,
  "vol_a3_per_atom": 10.6,
  "lattice_angstrom": [[-0.4457, -1.8731, 2.3175], [3.7158, -3.8346, -2.3847], [2.2834, 1.2908, 1.4824]],
  "species": ["H", "O", "Pd", "F", "F"],
  "fractional_positions": [[0.0000, 0.0000, 0.0000], [0.5000, 0.5000, 0.5000], [0.0000, 0.5000, 0.0000], [0.0000, 0.0000, 0.5000], [0.5000, 0.0000, 0.0000]]
}

***

Verdict on stability: #w comes out at the bottom.

***

#w
{
  "formula": "ReHOF2",
  "functional": "PBE-GGA",
  "state": "optimized geometry",
  "m_tot_mub_per_cell": 1.013,
  "dos_ef_per_ev_atom": 0.47,
  "vol_a3_per_atom": 12.6,
  "lattice_angstrom": [[-1.5293, 2.0716, 3.1737], [0.3154, -3.3409, 2.3328], [3.4730, 1.0279, 1.0025]],
  "species": ["Re", "H", "O", "F", "F"],
  "fractional_positions": [[0.0000, 0.0000, 0.0000], [0.5000, 0.5000, 0.5000], [0.0000, 0.0000, 0.5000], [0.0000, 0.5000, 0.0000], [0.5000, 0.0000, 0.0000]]
}

***

#x
{
  "formula": "ReHOF2",
  "functional": "PBE-GGA",
  "state": "optimized geometry",
  "m_tot_mub_per_cell": 3.341,
  "dos_ef_per_ev_atom": 0.43,
  "vol_a3_per_atom": 8.7,
  "lattice_angstrom": [[3.1090, 0.0000, 0.0000], [0.0000, 3.1090, 0.0000], [0.0000, 0.0000, 4.4918]],
  "species": ["Re", "H", "O", "F", "F"],
  "fractional_positions": [[0.5000, 0.5000, 0.5000], [0.0000, 0.0000, 0.0000], [0.0000, 0.0000, 0.5000], [0.0000, 0.5000, 0.0000], [0.5000, 0.0000, 0.0000]]
}

***

Verdict on stability: #x comes out at the bottom.

***

#w
{
  "formula": "SbHOF2",
  "functional": "PBE-GGA",
  "state": "optimized geometry",
  "m_tot_mub_per_cell": 0.996,
  "dos_ef_per_ev_atom": 0.11,
  "vol_a3_per_atom": 14.8,
  "lattice_angstrom": [[4.3228, 0.0000, 0.0000], [0.0000, 4.3228, 0.0000], [0.0000, 0.0000, 3.9586]],
  "species": ["Sb", "H", "O", "F", "F"],
  "fractional_positions": [[0.0000, 0.0000, 0.0000], [0.5000, 0.5000, 0.5000], [0.0000, 0.0000, 0.5000], [0.0000, 0.5000, 0.0000], [0.5000, 0.0000, 0.0000]]
}

***

#x
{
  "formula": "SbHOF2",
  "functional": "PBE-GGA",
  "state": "optimized geometry",
  "m_tot_mub_per_cell": 0.000,
  "dos_ef_per_ev_atom": 0.00,
  "vol_a3_per_atom": 9.5,
  "lattice_angstrom": [[-2.8243, 0.8119, 1.6549], [0.1163, -2.9434, 1.6424], [2.2856, 1.7798, 3.0277]],
  "species": ["Sb", "H", "O", "F", "F"],
  "fractional_positions": [[0.5000, 0.5000, 0.5000], [0.0000, 0.0000, 0.0000], [0.0000, 0.0000, 0.5000], [0.0000, 0.5000, 0.0000], [0.5000, 0.0000, 0.0000]]
}

***

Verdict on stability: #x comes out at the bottom.

***

#w
{
  "formula": "SiHOF2",
  "functional": "PBE-GGA",
  "state": "optimized geometry",
  "m_tot_mub_per_cell": 1.000,
  "dos_ef_per_ev_atom": 0.00,
  "vol_a3_per_atom": 8.9,
  "lattice_angstrom": [[-2.6084, 2.6084, 0.0825], [-2.1245, -2.1901, 2.0747], [1.3402, 1.2549, 2.6971]],
  "species": ["H", "Si", "O", "F", "F"],
  "fractional_positions": [[0.5000, 0.5000, 0.5000], [0.0000, 0.0000, 0.0000], [0.0000, 0.0000, 0.5000], [0.0000, 0.5000, 0.0000], [0.5000, 0.0000, 0.0000]]
}

***

#x
{
  "formula": "SiHOF2",
  "functional": "PBE-GGA",
  "state": "optimized geometry",
  "m_tot_mub_per_cell": 0.000,
  "dos_ef_per_ev_atom": 0.27,
  "vol_a3_per_atom": 8.0,
  "lattice_angstrom": [[3.0614, 0.0000, 0.0000], [0.0000, 3.0614, 0.0000], [0.0000, 0.0000, 4.2573]],
  "species": ["H", "Si", "O", "F", "F"],
  "fractional_positions": [[0.0000, 0.0000, 0.0000], [0.5000, 0.5000, 0.5000], [0.0000, 0.0000, 0.5000], [0.0000, 0.5000, 0.0000], [0.5000, 0.0000, 0.0000]]
}

***

Verdict on stability: #x comes out at the bottom.

***

#w
{
  "formula": "TaHOF2",
  "functional": "PBE-GGA",
  "state": "optimized geometry",
  "m_tot_mub_per_cell": 0.000,
  "dos_ef_per_ev_atom": 0.43,
  "vol_a3_per_atom": 8.6,
  "lattice_angstrom": [[-1.7751, -0.4537, -2.4804], [1.3966, -2.7025, -0.5052], [-3.0779, -2.0732, 2.5819]],
  "species": ["H", "F", "F", "O", "Ta"],
  "fractional_positions": [[0.0000, 0.0000, 0.0000], [0.0000, 0.5000, 0.0000], [0.5000, 0.0000, 0.0000], [0.0000, 0.0000, 0.5000], [0.5000, 0.5000, 0.5000]]
}

***

#x
{
  "formula": "TaHOF2",
  "functional": "PBE-GGA",
  "state": "optimized geometry",
  "m_tot_mub_per_cell": 0.681,
  "dos_ef_per_ev_atom": 0.43,
  "vol_a3_per_atom": 13.0,
  "lattice_angstrom": [[-3.5546, 1.1415, -1.7026], [-1.7200, -3.5150, 1.2342], [-1.0512, 1.6805, 3.3213]],
  "species": ["H", "F", "F", "O", "Ta"],
  "fractional_positions": [[0.5000, 0.5000, 0.5000], [0.0000, 0.5000, 0.0000], [0.5000, 0.0000, 0.0000], [0.0000, 0.0000, 0.5000], [0.0000, 0.0000, 0.0000]]
}

***

Verdict on stability: #w comes out at the bottom.